# 1
VASP calculation (meta-GGA SCAN) on a PBEsol-optimized structure of YZn3Co.

a b c (Å): 5.2818 5.2818 5.2818
angles (deg): 90.00 90.00 90.00
Each line ends with the local moment (μB).
Positions (direct):
Zn: 0.5000 0.0000 0.0000  -0.05
Zn: 0.0000 0.0000 0.5000  -0.05
Zn: 0.0000 0.5000 0.0000  -0.05
Y: 0.0000 0.0000 0.0000  -0.41
Co: 0.5000 0.5000 0.5000  2.15

## Properties
calculated formation energy = 1.4446 eV per atom
total energy = -78.47 eV/f.u.
ρ = 3.88 g/cm3
SG = Pm-3m, No. 221
magnetic moment = 1.50 μB/cell

# 2
VASP calculation (meta-GGA SCAN) on a PBEsol-optimized structure of P4S5.

a b c (Å): 6.1660 6.3823 11.1768
angles (deg): 90.00 90.00 114.87
Positions (direct):
S: 0.7798 0.9289 0.8927
P: 0.7169 0.6658 0.2500
S: 0.7828 0.4818 0.3925
P: 0.1104 0.2228 0.2500
P: 0.5778 0.1297 0.3534
P: 0.8896 0.7772 0.7500
S: 0.6546 0.4162 0.7500
P: 0.4222 0.8703 0.6466
S: 0.2172 0.5182 0.8925
P: 0.5778 0.1297 0.1466
S: 0.7798 0.9289 0.6073
P: 0.4222 0.8703 0.8534
S: 0.2202 0.0711 0.3927
S: 0.2202 0.0711 0.1073
S: 0.3454 0.5838 0.2500
P: 0.2831 0.3342 0.7500
S: 0.2172 0.5182 0.6075
S: 0.7828 0.4818 0.1075

## Properties
excess energy over the best structure of this formula in the dataset = 22 meV per atom
total energy = -91.32 eV/f.u.
raw formation energy = -0.176 eV per atom
ρ = 2.37 g/cm3
SG = P2_1/m, No. 11
magnetic moment = 0.00 μB/cell

# 3
VASP calculation (meta-GGA SCAN) on a PBEsol-optimized structure of CaZnAu.

a b c (Å): 3.7049 4.4604 4.4604
angles (deg): 120.00 90.00 90.00
Positions (direct):
Zn: 0.5000 0.6667 0.3333
Ca: 0.0000 0.3333 0.6667
Au: 0.5000 0.0000 0.0000

## Properties
calculated formation energy = -0.7245 eV per atom
total energy = -94.51 eV/f.u.
ρ = 7.87 g/cm3
SG = P-6m2, No. 187
magnetic moment = 0.00 μB/cell

# 4
VASP calculation (meta-GGA SCAN) on a PBEsol-optimized structure of CdTeCl.

a b c (Å): 4.8730 4.8730 4.8730
angles (deg): 60.00 60.00 60.00
Positions (direct):
Cl: 0.2500 0.2500 0.2500
Te: 0.0000 0.0000 0.0000
Cd: 0.5000 0.5000 0.5000

## Properties
total energy = -74.48 eV/f.u.
raw formation energy = 0.388 eV per atom
ρ = 5.59 g/cm3
SG = F-43m, No. 216
magnetic moment = 0.00 μB/cell